Entry from the Alexandria database: a relaxed PmSmAlHg crystal (GGA-PBE).

Energy relative to the elements, eV per atom: -0.427
D(E_F), states/eV/f.u.: 2.17
E above lowest polymorph, eV/atom: 0.000
Space-group type: No. 99
Crystal system: tetragonal
Mass density, kg/m3: 8290
Total magnetization, μB per formula unit: 0.00

a b c (Å): 3.5772 3.5772 8.1859
angles (deg): 90.00 90.00 90.00
Closest atoms and distances in Å follow each position.
Fractional coordinates of all 4 atoms:
Pm1 0.5000 0.5000 0.1178  4 Al 3.21, 4 Hg 3.32, 4 Pm 3.58
Sm1 0.5000 0.5000 0.5971  4 Al 3.20, 4 Hg 3.29, 4 Sm 3.58
Al1 0.0000 0.0000 0.3586  4 Sm 3.20, 4 Pm 3.21, 4 Al 3.58
Hg1 0.0000 0.0000 0.8544  4 Sm 3.29, 4 Pm 3.32, 4 Hg 3.58


Entry from the Alexandria database: a relaxed La3Pr8Nd4 crystal (GGA-PBE).

Energy relative to the elements, eV per atom: 0.280
D(E_F), states/eV/f.u.: 27.10
Space-group type: No. 12
Crystal system: monoclinic
Mass density, kg/m3: 6408
Total magnetization, μB per formula unit: 0.11

a b c (Å): 7.0463 9.5082 9.5082
angles (deg): 82.08 111.75 111.75
Closest atoms and distances in Å follow each position.
Fractional coordinates of all 15 atoms:
La1 0.5000 0.5000 0.0000  2 Nd 3.52, 8 Pr 3.59-3.64
La2 0.5000 0.0000 0.5000  2 Nd 3.52, 8 Pr 3.59-3.64
La3 0.5000 0.5000 0.5000  4 Pr 3.13-3.14
Pr1 0.2485 0.2488 0.2488  1 Nd 3.11, 1 La 3.14
Pr2 0.0000 0.7043 0.2957  4 Pr 3.57-3.61, 3 Nd 3.63-3.69, 2 La 3.63
Pr3 0.7988 0.2961 0.2961  4 Pr 3.55-3.61, 3 Nd 3.62-3.70, 2 La 3.64
Pr4 0.5000 0.7510 0.2490  1 Nd 3.11, 1 La 3.13
Pr5 0.5000 0.2490 0.7510  1 Nd 3.11, 1 La 3.13
Pr6 0.2012 0.7039 0.7039  4 Pr 3.55-3.61, 3 Nd 3.62-3.70, 2 La 3.64
Pr7 0.0000 0.2957 0.7043  4 Pr 3.57-3.61, 3 Nd 3.63-3.69, 2 La 3.63
Pr8 0.7515 0.7512 0.7512  1 Nd 3.11, 1 La 3.14
Nd1 0.5000 0.0000 0.0000  2 Pr 3.11
Nd2 0.0000 0.5000 0.0000  2 La 3.52, 8 Pr 3.58-3.63
Nd3 0.0000 0.0000 0.0000  2 Pr 3.11
Nd4 0.0000 0.0000 0.5000  2 La 3.52, 8 Pr 3.58-3.63


Entry from the Alexandria database: a relaxed PaGaTe3 crystal (GGA-PBE).

Uncorrected formation energy, kJ/mol of atoms: -54.2
Space-group type: No. 148
Crystal system: trigonal
Mass density, kg/m3: 6815
Total magnetization, μB per formula unit: 0.14

a b c (Å): 7.7329 7.7327 7.8304
angles (deg): 60.40 60.41 59.99
Closest atoms and distances in Å follow each position.
Fractional coordinates of all 10 atoms:
Pa1 0.3207 0.3207 0.0379  6 Te 3.01-3.04, 1 Ga 3.18
Pa2 0.6793 0.6793 0.9621  6 Te 3.01-3.04, 1 Ga 3.18
Ga1 0.8441 0.8441 0.4677  6 Te 2.96-3.30, 1 Pa 3.18
Ga2 0.1559 0.1559 0.5323  6 Te 2.96-3.30, 1 Pa 3.18
Te1 0.7371 0.4014 0.7583  2 Ga 2.96-3.30, 2 Pa 3.01-3.04
Te2 0.1032 0.7371 0.7582  2 Ga 2.96-3.30, 2 Pa 3.01-3.04
Te3 0.4015 0.1032 0.7582  2 Ga 2.96-3.30, 2 Pa 3.01-3.04
Te4 0.2629 0.5986 0.2417  2 Ga 2.96-3.30, 2 Pa 3.01-3.04
Te5 0.8968 0.2629 0.2418  2 Ga 2.96-3.30, 2 Pa 3.01-3.04
Te6 0.5985 0.8968 0.2418  2 Ga 2.96-3.30, 2 Pa 3.01-3.04


Entry from the Alexandria database: a relaxed Ba2InSn3 crystal (GGA-PBE).

Energy relative to the elements, eV per atom: -0.500
D(E_F), states/eV/f.u.: 3.19
E above lowest polymorph, eV/atom: 0.046
Space-group type: No. 69
Crystal system: orthorhombic
Mass density, kg/m3: 5705
Total magnetization, μB per formula unit: 0.00

a b c (Å): 7.1095 7.1095 9.9164
angles (deg): 110.35 110.35 91.72
Closest atoms and distances in Å follow each position.
Fractional coordinates of all 12 atoms:
Ba1 0.2500 0.7500 0.5000  8 Sn 3.77-3.83, 4 In 3.84
Ba2 0.7573 0.7573 0.0000  10 Sn 3.74-3.85, 2 In 3.82
Ba3 0.7500 0.2500 0.5000  8 Sn 3.77-3.83, 4 In 3.84
Ba4 0.2427 0.2427 0.0000  10 Sn 3.74-3.85, 2 In 3.82
In1 0.6655 0.6655 0.3310  3 Sn 2.87-2.88
In2 0.3345 0.3345 0.6690  3 Sn 2.87-2.88
Sn1 0.3389 0.8297 0.1686  1 In 2.87, 2 Sn 2.90-2.96
Sn2 0.1703 0.6611 0.8314  1 In 2.87, 2 Sn 2.90-2.96
Sn3 0.6611 0.1703 0.8314  1 In 2.87, 2 Sn 2.90-2.96
Sn4 0.8297 0.3389 0.1686  1 In 2.87, 2 Sn 2.90-2.96
Sn5 0.1668 0.1668 0.3335  1 In 2.88, 2 Sn 2.96
Sn6 0.8332 0.8332 0.6665  1 In 2.88, 2 Sn 2.96


Entry from the Alexandria database: a relaxed BaFe3Tc crystal (GGA-PBE).

Energy relative to the elements, eV per atom: 0.975
D(E_F), states/eV/f.u.: 10.75
E above lowest polymorph, eV/atom: 0.000
Space-group type: No. 221
Crystal system: cubic
Mass density, kg/m3: 6165
Total magnetization, μB per formula unit: 7.85

a b c (Å): 4.7698 4.7698 4.7698
angles (deg): 90.00 90.00 90.00
Closest atoms and distances in Å follow each position.
Fractional coordinates of all 5 atoms:
Fe1 0.0000 0.5000 0.0000  2 Tc 2.38
Fe2 0.0000 0.0000 0.5000  2 Tc 2.38
Fe3 0.5000 0.0000 0.0000  2 Tc 2.38
Ba1 0.5000 0.5000 0.5000  12 Fe 3.37
Tc1 0.0000 0.0000 0.0000  6 Fe 2.38


Entry from the Alexandria database: a relaxed K2ZrCl crystal (GGA-PBE).

D(E_F), states/eV/f.u.: 2.39
E above lowest polymorph, eV/atom: 0.625
Uncorrected formation energy, kJ/mol of atoms: 33.1
Space-group type: No. 47
Crystal system: orthorhombic
Mass density, kg/m3: 2413
Total magnetization, μB per formula unit: 2.50

a b c (Å): 3.6249 6.5087 5.9760
angles (deg): 90.00 90.00 90.00
Closest atoms and distances in Å follow each position.
Fractional coordinates of all 4 atoms:
K1 0.0000 0.0000 0.0000  4 Zr 3.49, 6 K 3.62-3.73
K2 0.5000 0.5000 0.0000  4 Cl 3.49, 6 K 3.62-3.73
Zr1 0.5000 0.0000 0.5000  4 K 3.49, 2 Zr 3.62, 4 Cl 3.73
Cl1 0.0000 0.5000 0.5000  4 K 3.49, 2 Cl 3.62, 4 Zr 3.73


Entry from the Alexandria database: a relaxed Al2BiAu crystal (GGA-PBE).

Energy relative to the elements, eV per atom: -0.038
D(E_F), states/eV/f.u.: 0.05
E above lowest polymorph, eV/atom: 0.000
Space-group type: No. 122
Crystal system: tetragonal
Mass density, kg/m3: 7654
Total magnetization, μB per formula unit: 0.00

a b c (Å): 4.9496 4.9496 8.8655
angles (deg): 73.79 73.79 90.00
Closest atoms and distances in Å follow each position.
Fractional coordinates of all 8 atoms:
Au1 0.5000 0.5000 0.0000  4 Al 2.51
Au2 0.2500 0.7500 0.5000  4 Al 2.51
Bi1 0.0000 0.0000 0.0000  4 Al 2.92
Bi2 0.7500 0.2500 0.5000  4 Al 2.92
Al1 0.5349 0.1250 0.2500  2 Au 2.51
Al2 0.2151 0.6250 0.2500  2 Au 2.51
Al3 0.3750 0.4651 0.7500  2 Au 2.51
Al4 0.8750 0.7849 0.7500  2 Au 2.51


Entry from the Alexandria database: a relaxed CrIn4Se crystal (GGA-PBE).

D(E_F), states/eV/f.u.: 3.25
Uncorrected formation energy, kJ/mol of atoms: 41.8
Space-group type: No. 216
Crystal system: cubic
Mass density, kg/m3: 6184
Total magnetization, μB per formula unit: 4.71

a b c (Å): 6.0744 6.0744 6.0744
angles (deg): 60.00 60.00 60.00
Closest atoms and distances in Å follow each position.
Fractional coordinates of all 6 atoms:
Cr1 0.0000 0.0000 0.0000  12 In 3.56, 4 Se 3.72
In1 0.8759 0.3747 0.3747  6 In 3.03-3.04
In2 0.3747 0.3747 0.8759  6 In 3.03-3.04
In3 0.3747 0.8759 0.3747  6 In 3.03-3.04
In4 0.3747 0.3747 0.3747  6 In 3.03-3.04
Se1 0.7500 0.7500 0.7500  12 In 3.56, 4 Cr 3.72


Entry from the Alexandria database: a relaxed Tb8InOs2 crystal (GGA-PBE).

Energy relative to the elements, eV per atom: -0.202
D(E_F), states/eV/f.u.: 9.66
Space-group type: No. 12
Crystal system: monoclinic
Mass density, kg/m3: 9448
Total magnetization, μB per formula unit: 0.00

a b c (Å): 5.4765 7.9312 7.9312
angles (deg): 112.26 97.26 97.26
Closest atoms and distances in Å follow each position.
Fractional coordinates of all 11 atoms:
Tb1 0.9223 0.9382 0.6712  2 Os 2.90-2.92
Tb2 0.9223 0.6712 0.9382  2 Os 2.90-2.92
Tb3 0.2973 0.6161 0.6161  2 Os 2.98, 1 In 3.32
Tb4 0.5000 0.7509 0.2491  2 Os 2.87
Tb5 0.5000 0.2491 0.7509  2 Os 2.87
Tb6 0.7027 0.3839 0.3839  2 Os 2.98, 1 In 3.32
Tb7 0.0777 0.3288 0.0618  2 Os 2.90-2.92
Tb8 0.0777 0.0618 0.3288  2 Os 2.90-2.92
In1 0.5000 0.0000 0.0000  8 Tb 3.28-3.64
Os1 0.0000 0.3151 0.6849  8 Tb 2.87-2.98
Os2 0.0000 0.6849 0.3151  8 Tb 2.87-2.98


Entry from the Alexandria database: a relaxed Tb3Cu2Ni7 crystal (GGA-PBE).

Energy relative to the elements, eV per atom: -0.391
D(E_F), states/eV/f.u.: 8.87
Space-group type: No. 166
Crystal system: trigonal
Mass density, kg/m3: 9524
Total magnetization, μB per formula unit: 0.00

a b c (Å): 5.0168 5.0168 8.6180
angles (deg): 73.08 73.08 60.00
Closest atoms and distances in Å follow each position.
Fractional coordinates of all 12 atoms:
Tb1 0.0000 0.0000 0.0000  6 Cu 2.90, 12 Ni 3.22
Tb2 0.8609 0.8609 0.4174  12 Ni 2.86-3.07, 3 Tb 3.19
Tb3 0.1391 0.1391 0.5826  12 Ni 2.86-3.07, 3 Tb 3.19
Cu1 0.6665 0.6665 0.0006  6 Ni 2.49
Cu2 0.3335 0.3335 0.9994  6 Ni 2.49
Ni1 0.5000 0.5000 0.5000  6 Ni 2.50
Ni2 0.9185 0.4163 0.2490  2 Cu 2.49, 5 Ni 2.50-2.52
Ni3 0.4163 0.9185 0.2490  2 Cu 2.49, 5 Ni 2.50-2.52
Ni4 0.4163 0.4163 0.2490  2 Cu 2.49, 5 Ni 2.50-2.52
Ni5 0.0815 0.5837 0.7510  2 Cu 2.49, 5 Ni 2.50-2.52
Ni6 0.5837 0.5837 0.7510  2 Cu 2.49, 5 Ni 2.50-2.52
Ni7 0.5837 0.0815 0.7510  2 Cu 2.49, 5 Ni 2.50-2.52


Entry from the Alexandria database: a relaxed RbMgNCl2 crystal (GGA-PBE).

D(E_F), states/eV/f.u.: 0.00
Uncorrected formation energy, kJ/mol of atoms: -80.6
Space-group type: No. 123
Crystal system: tetragonal
Mass density, kg/m3: 2732
Total magnetization, μB per formula unit: 2.00

a b c (Å): 5.2666 4.2659 5.2666
angles (deg): 90.00 90.00 90.00
Closest atoms and distances in Å follow each position.
Fractional coordinates of all 5 atoms:
Mg1 0.0000 0.0000 0.0000  2 N 2.13
N1 0.0000 0.5000 0.0000  2 Mg 2.13
Rb1 0.5000 0.5000 0.5000  8 Cl 3.39, 4 N 3.72
Cl1 0.0000 0.0000 0.5000  2 Mg 2.63
Cl2 0.5000 0.0000 0.0000  2 Mg 2.63


Entry from the Alexandria database: a relaxed CuSI4 crystal (GGA-PBE).

D(E_F), states/eV/f.u.: 4.29
Uncorrected formation energy, kJ/mol of atoms: 3.0
Space-group type: No. 8
Crystal system: monoclinic
Mass density, kg/m3: 4459
Total magnetization, μB per formula unit: 0.00

a b c (Å): 4.4735 3.9216 25.7188
angles (deg): 90.00 95.32 90.00
Closest atoms and distances in Å follow each position.
Fractional coordinates of all 12 atoms:
Cu1 0.5926 0.0000 0.7521  2 S 2.25
Cu2 0.5926 0.5000 0.2521  2 S 2.25
S1 0.5606 0.0000 0.2941  2 Cu 2.25, 1 I 2.44
S2 0.5606 0.5000 0.7941  2 Cu 2.25, 1 I 2.44
I1 0.9039 0.0000 0.3738  1 S 2.44
I2 0.9039 0.5000 0.8738  1 S 2.44
I3 0.0573 0.0000 0.6941  2 Cu 2.67-2.70
I4 0.0573 0.5000 0.1941  2 Cu 2.67-2.70
I5 0.4189 0.0000 0.4770  1 I 2.83
I6 0.4189 0.5000 0.9770  1 I 2.83
I7 0.2150 0.0000 0.5781  2 I 2.83-3.13
I8 0.2150 0.5000 0.0781  2 I 2.83-3.13


For the records above, the corresponding uncorrected energy values read -3.806; -4.526; -4.951; -3.599; -6.560; -2.804; -3.699; -3.577; -5.860; -5.604; -3.752; -2.373 eV/atom.